Below is a relaxed structure of SiBPt2, with properties calculated at the PBE level.

a b c (Å): 5.0721 5.0721 6.2791
angles (deg): 66.18 66.18 90.00
Closest atoms and distances in Å follow each position.
Fractional coordinates of all 8 atoms:
1 Si 0.0000 0.0000 0.0000  4 Pt 2.36
2 Si 0.7500 0.2500 0.5000  4 Pt 2.36
3 B 0.5000 0.5000 0.0000  4 Pt 2.07
4 B 0.2500 0.7500 0.5000  4 Pt 2.07
5 Pt 0.5757 0.1250 0.2500  2 B 2.07
6 Pt 0.1743 0.6250 0.2500  2 B 2.07
7 Pt 0.3750 0.4243 0.7500  2 B 2.07
8 Pt 0.8750 0.8257 0.7500  2 B 2.07

Summary:
* electronic total energy: -25.22 eV per formula unit
* crystal system: tetragonal
* polymorph energy (0 for the lowest one): 0.0000 eV/atom
* space group: I-42d (122)



Below is a relaxed structure of Si2GeRh2, with properties calculated at the PBE level.

a b c (Å): 7.3091 7.3091 2.7526
angles (deg): 90.00 90.00 90.00
Closest atoms and distances in Å follow each position.
Fractional coordinates of all 10 atoms:
1 Ge 0.0000 0.0000 0.0000  2 Ge 2.75, 4 Si 2.80
2 Ge 0.5000 0.5000 0.0000  2 Ge 2.75, 4 Si 2.80
3 Rh 0.1443 0.6443 0.5000  6 Si 2.53-2.57, 2 Rh 2.75
4 Rh 0.6443 0.8557 0.5000  6 Si 2.53-2.57, 2 Rh 2.75
5 Rh 0.8557 0.3557 0.5000  6 Si 2.53-2.57, 2 Rh 2.75
6 Rh 0.3557 0.1443 0.5000  6 Si 2.53-2.57, 2 Rh 2.75
7 Si 0.3542 0.8542 0.0000  6 Rh 2.53-2.57, 2 Si 2.75, 2 Ge 2.80
8 Si 0.8542 0.6458 0.0000  6 Rh 2.53-2.57, 2 Si 2.75, 2 Ge 2.80
9 Si 0.6458 0.1458 0.0000  6 Rh 2.53-2.57, 2 Si 2.75, 2 Ge 2.80
10 Si 0.1458 0.3542 0.0000  6 Rh 2.53-2.57, 2 Si 2.75, 2 Ge 2.80

Summary:
* electronic total energy: -31.93 eV per formula unit
* crystal system: tetragonal
* polymorph energy (0 for the lowest one): 0.0812 eV/atom
* space group: P4/mbm (127)



Below is a relaxed structure of Cd2RhAu, with properties calculated at the PBE level.

a b c (Å): 4.8940 4.8940 5.1220
angles (deg): 78.51 78.51 37.34
Closest atoms and distances in Å follow each position.
Fractional coordinates of all 4 atoms:
1 Cd 0.2456 0.2456 0.7592  3 Rh 2.82-2.88, 3 Au 2.87-2.91, 6 Cd 2.94-3.13
2 Cd 0.7544 0.7544 0.2408  3 Rh 2.82-2.88, 3 Au 2.87-2.91, 6 Cd 2.94-3.13
3 Rh 0.5000 0.5000 0.0000  6 Cd 2.82-2.88, 4 Au 3.00, 2 Rh 3.13
4 Au 0.0000 0.0000 0.5000  6 Cd 2.87-2.91, 4 Rh 3.00, 2 Au 3.13

Summary:
* electronic total energy: -12.66 eV per formula unit
* energy relative to the elements: -0.051 eV per atom
* crystal system: monoclinic
* space group: C2/m (12)